[1]
# Ta2HPdRh, optimized geometry, DFT PBE-GGA
data_Ta2HPdRh
_chemical_formula_sum 'Ta2 H1 Pd1 Rh1'
_cell_length_a 4.0616
_cell_length_b 4.0616
_cell_length_c 4.0557
_cell_angle_alpha 90.00
_cell_angle_beta 90.00
_cell_angle_gamma 90.00
_symmetry_space_group_name_H-M 'P 1'
_symmetry_Int_Tables_number 1
loop_
_symmetry_equiv_pos_as_xyz
'x,y,z'
loop_
_atom_site_label
_atom_site_type_symbol
_atom_site_fract_x
_atom_site_fract_y
_atom_site_fract_z
Ta1 Ta 0.0000 0.5000 0.0000
Ta2 Ta 0.5000 0.0000 0.0000
H1 H 0.0000 0.0000 0.0000
Pd1 Pd 0.0000 0.0000 0.5000
Rh1 Rh 0.5000 0.5000 0.5000
# DFT total energy = -40.97 eV/cell
# distance to the lowest polymorph of the same formula = 18 meV/atom
# V = 13.38 Å³/atom
# space group = P4/mmm (123)


[2]
# CoTcNi2I, optimized geometry, DFT PBE-GGA
data_CoTcNi2I
_chemical_formula_sum 'Co1 Tc1 Ni2 I1'
_cell_length_a 4.5636
_cell_length_b 4.5636
_cell_length_c 4.5790
_cell_angle_alpha 90.00
_cell_angle_beta 90.00
_cell_angle_gamma 90.00
_symmetry_space_group_name_H-M 'P 1'
_symmetry_Int_Tables_number 1
loop_
_symmetry_equiv_pos_as_xyz
'x,y,z'
loop_
_atom_site_label
_atom_site_type_symbol
_atom_site_fract_x
_atom_site_fract_y
_atom_site_fract_z
Co1 Co 0.0000 0.0000 0.0000
Tc1 Tc 0.5000 0.5000 0.0000
Ni1 Ni 0.0000 0.5000 0.5000
Ni2 Ni 0.5000 0.0000 0.5000
I1 I 0.0000 0.0000 0.5000
# DFT total energy = -22.60 eV/cell
# V = 19.07 Å³/atom
# uncorrected formation energy = 1598 meV/atom
# space group = P4/mmm (123)


[3]
# LaCd2Os, optimized geometry, DFT PBE-GGA
data_LaCd2Os
_chemical_formula_sum 'La1 Cd2 Os1'
_cell_length_a 6.3464
_cell_length_b 6.3464
_cell_length_c 6.3464
_cell_angle_alpha 149.38
_cell_angle_beta 134.79
_cell_angle_gamma 55.59
_symmetry_space_group_name_H-M 'P 1'
_symmetry_Int_Tables_number 1
loop_
_symmetry_equiv_pos_as_xyz
'x,y,z'
loop_
_atom_site_label
_atom_site_type_symbol
_atom_site_fract_x
_atom_site_fract_y
_atom_site_fract_z
La1 La 0.0000 0.0000 0.0000
Cd1 Cd 0.2922 0.7922 0.5000
Cd2 Cd 0.7078 0.2078 0.5000
Os1 Os 0.5000 0.5000 0.0000
# DFT total energy = -17.68 eV/cell
# V = 22.95 Å³/atom
# formation enthalpy at 0 K = 0.08 eV per atom
# space group = Immm (71)


Copy entry 2 word for word.
# CoTcNi2I, optimized geometry, DFT PBE-GGA
data_CoTcNi2I
_chemical_formula_sum 'Co1 Tc1 Ni2 I1'
_cell_length_a 4.5636
_cell_length_b 4.5636
_cell_length_c 4.5790
_cell_angle_alpha 90.00
_cell_angle_beta 90.00
_cell_angle_gamma 90.00
_symmetry_space_group_name_H-M 'P 1'
_symmetry_Int_Tables_number 1
loop_
_symmetry_equiv_pos_as_xyz
'x,y,z'
loop_
_atom_site_label
_atom_site_type_symbol
_atom_site_fract_x
_atom_site_fract_y
_atom_site_fract_z
Co1 Co 0.0000 0.0000 0.0000
Tc1 Tc 0.5000 0.5000 0.0000
Ni1 Ni 0.0000 0.5000 0.5000
Ni2 Ni 0.5000 0.0000 0.5000
I1 I 0.0000 0.0000 0.5000
# DFT total energy = -22.60 eV/cell
# V = 19.07 Å³/atom
# uncorrected formation energy = 1598 meV/atom
# space group = P4/mmm (123)


Question: The lowest DFT total energy belongs to which entry?
Answer: Ta2HPdRh